## USbO5 (PBE)

Data for crystalline USbO5 at its relaxed geometry.

Output
- raw formation energy (kJ/mol of atoms) = -222
- ΔE to the lowest computed polymorph (eV/f.u.) = 0.000
- N(E_F) (states/eV/atom) = 0.684
- spin magnetization (μB per cell) = 2.0
- E (eV/atom) = -8.05
- crystal system = monoclinic

abc: 5.5213 5.5213 7.6095
angles: 69.96 69.96 73.29
Site moments in Bohr magnetons follow the coordinates.
Sites, in units of the cell vectors:
O (0.7721, 0.7265, 0.1285)  -0.02
O (0.7265, 0.7721, 0.6285)  -0.02
O (0.2905, 0.6912, 0.4673)  -0.02
O (0.7095, 0.3088, 0.5327)  -0.02
O (0.2735, 0.2279, 0.3715)  -0.02
O (0.2279, 0.2735, 0.8715)  -0.02
O (0.0908, 0.9092, 0.7500)  0.00
O (0.6912, 0.2905, 0.9673)  -0.02
O (0.3088, 0.7095, 0.0327)  -0.02
O (0.9092, 0.0908, 0.2500)  0.00
Sb (0.0000, 0.0000, 0.5000)  0.01
Sb (0.0000, 0.0000, 0.0000)  0.01
U (0.5307, 0.4693, 0.2500)  1.06
U (0.4693, 0.5307, 0.7500)  1.06


## USbO5 (PBE)

Data for crystalline USbO5 at its relaxed geometry.

Output
- raw formation energy (kJ/mol of atoms) = -217
- ΔE to the lowest computed polymorph (eV/f.u.) = 0.408
- N(E_F) (states/eV/atom) = 0.485
- spin magnetization (μB per cell) = 1.0
- E (eV/atom) = -7.99
- crystal system = orthorhombic

abc: 3.8802 5.5224 5.5224
angles: 72.60 69.43 69.43
Site moments in Bohr magnetons follow the coordinates.
Sites, in units of the cell vectors:
O (0.2528, 0.7472, 0.7472)  -0.03
O (0.5000, 0.0000, 0.0000)  -0.01
O (0.0000, 0.3038, 0.6962)  -0.02
O (0.7472, 0.2528, 0.2528)  -0.03
O (0.0000, 0.6962, 0.3038)  -0.02
U (0.5000, 0.5000, 0.5000)  1.08
Sb (0.0000, 0.0000, 0.0000)  0.00


Question: E of number 1 (USbO5)?
Answer: -8.05 eV/atom